Compound: HoLuGe
Source: Alexandria
Functional: GGA-PBE
Structure: relaxed

Values from the calculation:
* SG: I4mm (107)
* energy of formation from the pure elements: -10.14 kcal/mol of atoms
* M_tot: 0.000 μB per atom
* energy above the lowest structure with this stoichiometry: 0.062 eV/atom

Unit cell a=3.4257 b=3.4257 c=6.8375 alpha=104.51 beta=104.51 gamma=90.00
Fractional positions:
Lu (0.6406, 0.6406, 0.2813)
Ge (0.2818, 0.2818, 0.5636)
Ho (0.9276, 0.9276, 0.8552)

Compound: HoLuGe
Source: Alexandria
Functional: GGA-PBE
Structure: relaxed

Values from the calculation:
* SG: F-43m (216)
* energy of formation from the pure elements: -11.57 kcal/mol of atoms
* M_tot: 0.000 μB per atom
* energy above the lowest structure with this stoichiometry: 0.000 eV/atom

Unit cell a=4.8090 b=4.8090 c=4.8090 alpha=60.00 beta=60.00 gamma=60.00
Fractional positions:
Ho (0.5000, 0.5000, 0.5000)
Ge (0.2500, 0.2500, 0.2500)
Lu (0.0000, 0.0000, 0.0000)

Compound: HoLuGe
Source: Alexandria
Functional: GGA-PBE
Structure: relaxed

Values from the calculation:
* SG: P3m1 (156)
* energy of formation from the pure elements: -8.53 kcal/mol of atoms
* M_tot: 0.001 μB per atom
* energy above the lowest structure with this stoichiometry: 0.132 eV/atom

Unit cell a=4.0785 b=4.6687 c=4.6687 alpha=120.00 beta=90.00 gamma=90.00
Fractional positions:
Lu (0.2239, 0.6667, 0.3333)
Ho (0.7068, 0.3333, 0.6667)
Ge (0.0693, 0.0000, 0.0000)

Compound: HoLuGePt
Source: Alexandria
Functional: GGA-PBE
Structure: relaxed

Values from the calculation:
* SG: F-43m (216)
* energy of formation from the pure elements: -22.19 kcal/mol of atoms
* M_tot: 0.000 μB per atom

Unit cell a=4.9467 b=4.9467 c=4.9467 alpha=60.00 beta=60.00 gamma=60.00
Fractional positions:
Pt (0.2500, 0.2500, 0.2500)
Ho (0.5000, 0.5000, 0.5000)
Lu (0.0000, 0.0000, 0.0000)
Ge (0.7500, 0.7500, 0.7500)

Compound: HoLuGeRh
Source: Alexandria
Functional: GGA-PBE
Structure: relaxed

Values from the calculation:
* SG: F-43m (216)
* energy of formation from the pure elements: -17.58 kcal/mol of atoms
* M_tot: 0.000 μB per atom

Unit cell a=4.8866 b=4.8866 c=4.8866 alpha=60.00 beta=60.00 gamma=60.00
Fractional positions:
Ho (0.7500, 0.7500, 0.7500)
Ge (0.0000, 0.0000, 0.0000)
Rh (0.5000, 0.5000, 0.5000)
Lu (0.2500, 0.2500, 0.2500)

Compound: HoLuGeRu
Source: Alexandria
Functional: GGA-PBE
Structure: relaxed

Values from the calculation:
* SG: F-43m (216)
* energy of formation from the pure elements: -11.88 kcal/mol of atoms
* M_tot: 0.000 μB per atom

Unit cell a=4.8641 b=4.8641 c=4.8641 alpha=60.00 beta=60.00 gamma=60.00
Fractional positions:
Ru (0.2500, 0.2500, 0.2500)
Ge (0.7500, 0.7500, 0.7500)
Lu (0.5000, 0.5000, 0.5000)
Ho (0.0000, 0.0000, 0.0000)

Compound: HoMgGe2
Source: Alexandria
Functional: GGA-PBE
Structure: relaxed

Values from the calculation:
* SG: Pnma (62)
* energy of formation from the pure elements: -10.61 kcal/mol of atoms
* M_tot: 0.000 μB per atom
* energy above the lowest structure with this stoichiometry: 0.010 eV/atom

Unit cell a=3.8446 b=8.0108 c=10.9842 alpha=90.00 beta=90.00 gamma=90.00
Fractional positions:
Ho (0.2500, 0.6202, 0.6489)
Ho (0.7500, 0.3798, 0.3511)
Ho (0.2500, 0.1202, 0.8511)
Ho (0.7500, 0.8798, 0.1489)
Ge (0.2500, 0.2598, 0.5453)
Ge (0.2500, 0.1660, 0.1971)
Ge (0.7500, 0.7402, 0.4547)
Ge (0.7500, 0.3340, 0.6971)
Ge (0.2500, 0.7598, 0.9547)
Ge (0.7500, 0.8340, 0.8029)
Ge (0.7500, 0.2402, 0.0453)
Ge (0.2500, 0.6660, 0.3029)
Mg (0.7500, 0.5138, 0.8961)
Mg (0.2500, 0.4862, 0.1039)
Mg (0.7500, 0.0138, 0.6039)
Mg (0.2500, 0.9862, 0.3961)

Compound: HoMgGe2
Source: Alexandria
Functional: GGA-PBE
Structure: relaxed

Values from the calculation:
* SG: P4/mmm (123)
* energy of formation from the pure elements: -10.84 kcal/mol of atoms
* M_tot: 0.000 μB per atom
* energy above the lowest structure with this stoichiometry: 0.000 eV/atom

Unit cell a=4.0597 b=4.4786 c=4.4786 alpha=90.00 beta=90.00 gamma=90.00
Fractional positions:
Ge (0.0000, 0.0000, 0.5000)
Ge (0.0000, 0.5000, 0.0000)
Ho (0.5000, 0.5000, 0.5000)
Mg (0.5000, 0.0000, 0.0000)

Compound: HoMgGe
Source: Alexandria
Functional: GGA-PBE
Structure: relaxed

Values from the calculation:
* SG: C2/m (12)
* energy of formation from the pure elements: -12.83 kcal/mol of atoms
* M_tot: 0.000 μB per atom

Unit cell a=4.2759 b=5.7203 c=6.4017 alpha=72.49 beta=70.49 gamma=68.05
Fractional positions:
Mg (0.1707, 0.2370, 0.4216)
Mg (0.8293, 0.7630, 0.5784)
Ge (0.8475, 0.1284, 0.1766)
Ge (0.1525, 0.8716, 0.8234)
Ho (0.4309, 0.3078, 0.8303)
Ho (0.5691, 0.6922, 0.1697)

Compound: HoMgGe
Source: Alexandria
Functional: GGA-PBE
Structure: relaxed

Values from the calculation:
* SG: F-43m (216)
* energy of formation from the pure elements: -10.54 kcal/mol of atoms
* M_tot: 0.000 μB per atom

Unit cell a=4.6778 b=4.6778 c=4.6778 alpha=60.00 beta=60.00 gamma=60.00
Fractional positions:
Mg (0.5000, 0.5000, 0.5000)
Ge (0.2500, 0.2500, 0.2500)
Ho (0.0000, 0.0000, 0.0000)

Compound: HoMgGe4
Source: Alexandria
Functional: GGA-PBE
Structure: relaxed

Values from the calculation:
* SG: F-43m (216)
* energy of formation from the pure elements: -4.11 kcal/mol of atoms
* M_tot: 0.000 μB per atom

Unit cell a=5.5767 b=5.5767 c=5.5767 alpha=60.00 beta=60.00 gamma=60.00
Fractional positions:
Ge (0.6245, 0.6245, 0.1266)
Ge (0.1266, 0.6245, 0.6245)
Ge (0.6245, 0.1266, 0.6245)
Ge (0.6245, 0.6245, 0.6245)
Ho (0.0000, 0.0000, 0.0000)
Mg (0.2500, 0.2500, 0.2500)

Compound: HoMg2Ge
Source: Alexandria
Functional: GGA-PBE
Structure: relaxed

Values from the calculation:
* SG: P4/mmm (123)
* energy of formation from the pure elements: -8.76 kcal/mol of atoms
* M_tot: 0.000 μB per atom

Unit cell a=4.7116 b=4.2926 c=4.2926 alpha=90.00 beta=90.00 gamma=90.00
Fractional positions:
Ho (0.5000, 0.0000, 0.0000)
Mg (0.0000, 0.5000, 0.0000)
Mg (0.0000, 0.0000, 0.5000)
Ge (0.5000, 0.5000, 0.5000)